Entry 1:
This record from Alexandria describes a relaxed ErGa2Fe2C crystal. The functional is GGA-PBE.

Properties
- total magnetic moment (μB per atom) = 0.0000
- E_tot (eV/atom) = -6.452

Lattice parameters (Å, degrees): 3.8479 3.8479 5.5087 90.00 90.00 90.00
Space group P4/mmm (No. 123)
One atom of each set of equivalent atoms:
Er 0.0000 0.0000 0.0000 x1
Ga 0.5000 0.5000 0.2246 x2
Fe 0.0000 0.5000 0.5000 x2
C 0.0000 0.0000 0.5000 x1

---

Entry 2:
This record from Alexandria describes a relaxed YRePd2 crystal. The functional is GGA-PBE.

Properties
- total magnetic moment (μB per atom) = 0.6744
- polymorph energy (0 for the lowest one) (meV per atom) = 0

Lattice parameters (Å, degrees): 6.6477 6.6477 6.6477 90.00 90.00 90.00
Space group Fm-3m (No. 225)
One atom of each set of equivalent atoms:
Y 0.0000 0.0000 0.0000 x4
Re 0.0000 0.0000 0.5000 x4
Pd 0.2500 0.2500 0.2500 x8

---

Entry 3:
This record from Alexandria describes a relaxed CuCO2 crystal. The functional is GGA-PBE.

Properties
- total magnetic moment (μB per atom) = 0.0000
- E_form (uncorrected) (eV/atom) = 0.53

Lattice parameters (Å, degrees): 4.4113 4.4113 7.8859 90.00 90.00 90.00
Space group I-42d (No. 122)
One atom of each set of equivalent atoms:
Cu 0.0000 0.0000 0.0000 x4
C 0.0000 0.0000 0.5000 x4
O 0.1536 0.2500 0.6250 x8

---

Entry 4:
This record from Alexandria describes a relaxed CePrYMg crystal. The functional is GGA-PBE.

Properties
- total magnetic moment (μB per atom) = 0.2743
- E_tot (eV/atom) = -4.552

Lattice parameters (Å, degrees): 7.8836 7.8836 7.8836 90.00 90.00 90.00
Space group F-43m (No. 216)
One atom of each set of equivalent atoms:
Ce 0.0000 0.0000 0.0000 x4
Pr 0.2500 0.2500 0.2500 x4
Y 0.2500 0.2500 0.7500 x4
Mg 0.0000 0.0000 0.5000 x4

---

Entry 5:
This record from Alexandria describes a relaxed LaCeMoN3 crystal. The functional is GGA-PBE.

Properties
- total magnetic moment (μB per atom) = 0.0001
- E_form (uncorrected) (eV/atom) = -0.96

Lattice parameters (Å, degrees): 7.7213 3.4383 7.7840 90.00 98.05 90.00
Space group P2_1/m (No. 11)
One atom of each set of equivalent atoms:
La 0.1876 0.2500 0.1721 x2
Ce 0.1683 0.2500 0.6337 x2
Mo 0.4124 0.7500 0.9023 x2
N 0.1229 0.7500 0.4162 x2
N 0.1516 0.7500 0.8660 x2
N 0.4383 0.7500 0.1725 x2

---

Entry 6:
This record from Alexandria describes a relaxed ZnCd2Te crystal. The functional is GGA-PBE.

Properties
- total magnetic moment (μB per atom) = 0.0000
- polymorph energy (0 for the lowest one) (meV per atom) = 169
- E_form (uncorrected) (eV/atom) = 0.15

Lattice parameters (Å, degrees): 7.0328 10.0276 3.0968 90.00 110.86 90.00
Space group C2/m (No. 12)
One atom of each set of equivalent atoms:
Zn 0.0000 0.0000 0.0000 x2
Cd 0.2500 0.2500 0.0000 x4
Te 0.0000 0.5000 0.0000 x2

---

Entry 7:
This record from Alexandria describes a relaxed SrPIr crystal. The functional is GGA-PBE.

Properties
- total magnetic moment (μB per atom) = 0.0000
- E_tot (eV/atom) = -5.697

Lattice parameters (Å, degrees): 3.3411 3.3411 10.8846 90.00 90.00 90.00
Space group I4mm (No. 107)
One atom of each set of equivalent atoms:
Sr 0.0000 0.0000 0.0000 x2
P 0.0000 0.0000 0.2880 x2
Ir 0.0000 0.0000 0.7171 x2

---

Entry 8:
This record from Alexandria describes a relaxed LiAl2W crystal. The functional is GGA-PBE.

Properties
- total magnetic moment (μB per atom) = 0.0000
- polymorph energy (0 for the lowest one) (meV per atom) = 220

Lattice parameters (Å, degrees): 6.2276 6.2276 6.2276 90.00 90.00 90.00
Space group Fm-3m (No. 225)
One atom of each set of equivalent atoms:
Li 0.0000 0.0000 0.0000 x4
Al 0.2500 0.2500 0.2500 x8
W 0.0000 0.0000 0.5000 x4